## i
Computed, not measured: BeCoMo at its PBEsol-relaxed geometry at the meta-GGA SCAN level of DFT.

Properties
Space group ... F-43m, No. 216
M_tot ... 0.00 μB/f.u.

```
data_BeCoMo
_chemical_formula_sum 'Be1 Co1 Mo1'
_space_group_name_H-M_alt 'P 1'
_space_group_IT_number 1
_cell_length_a 3.8378
_cell_length_b 3.8378
_cell_length_c 3.8378
_cell_angle_alpha 60.00
_cell_angle_beta 60.00
_cell_angle_gamma 60.00
loop_
_space_group_symop_operation_xyz
'x,y,z'
loop_
_atom_site_label
_atom_site_type_symbol
_atom_site_fract_x
_atom_site_fract_y
_atom_site_fract_z
Be1 Be 0.0000 0.0000 0.0000
Co1 Co 0.5000 0.5000 0.5000
Mo1 Mo 0.2500 0.2500 0.2500
```

---

## ii
Computed, not measured: BeCoMo at its PBEsol-relaxed geometry at the meta-GGA SCAN level of DFT.

Properties
Space group ... F-43m, No. 216
M_tot ... 2.35 μB/f.u.

```
data_BeCoMo
_chemical_formula_sum 'Be1 Co1 Mo1'
_space_group_name_H-M_alt 'P 1'
_space_group_IT_number 1
_cell_length_a 3.6912
_cell_length_b 3.6912
_cell_length_c 3.6912
_cell_angle_alpha 60.00
_cell_angle_beta 60.00
_cell_angle_gamma 60.00
loop_
_space_group_symop_operation_xyz
'x,y,z'
loop_
_atom_site_label
_atom_site_type_symbol
_atom_site_fract_x
_atom_site_fract_y
_atom_site_fract_z
Be1 Be 0.0000 0.0000 0.0000
Co1 Co 0.7500 0.7500 0.7500
Mo1 Mo 0.2500 0.2500 0.2500
```

---

It is ii that is the most stable of them.

---

## i
Computed, not measured: NaBeCo3 at its PBEsol-relaxed geometry at the meta-GGA SCAN level of DFT.

Properties
Space group ... Pm-3m, No. 221
M_tot ... 4.06 μB/f.u.

```
data_NaBeCo3
_chemical_formula_sum 'Na1 Be1 Co3'
_space_group_name_H-M_alt 'P 1'
_space_group_IT_number 1
_cell_length_a 3.9773
_cell_length_b 3.9773
_cell_length_c 3.9773
_cell_angle_alpha 90.00
_cell_angle_beta 90.00
_cell_angle_gamma 90.00
loop_
_space_group_symop_operation_xyz
'x,y,z'
loop_
_atom_site_label
_atom_site_type_symbol
_atom_site_fract_x
_atom_site_fract_y
_atom_site_fract_z
Na1 Na 0.0000 0.0000 0.0000
Be1 Be 0.5000 0.5000 0.5000
Co1 Co 0.0000 0.5000 0.5000
Co2 Co 0.5000 0.0000 0.5000
Co3 Co 0.5000 0.5000 0.0000
```

---

## ii
Computed, not measured: NaBeCo3 at its PBEsol-relaxed geometry at the meta-GGA SCAN level of DFT.

Properties
Space group ... Pm-3m, No. 221
M_tot ... 4.55 μB/f.u.

```
data_NaBeCo3
_chemical_formula_sum 'Na1 Be1 Co3'
_space_group_name_H-M_alt 'P 1'
_space_group_IT_number 1
_cell_length_a 4.1918
_cell_length_b 4.1918
_cell_length_c 4.1918
_cell_angle_alpha 90.00
_cell_angle_beta 90.00
_cell_angle_gamma 90.00
loop_
_space_group_symop_operation_xyz
'x,y,z'
loop_
_atom_site_label
_atom_site_type_symbol
_atom_site_fract_x
_atom_site_fract_y
_atom_site_fract_z
Na1 Na 0.0000 0.0000 0.0000
Be1 Be 0.5000 0.5000 0.5000
Co1 Co 0.0000 0.0000 0.5000
Co2 Co 0.0000 0.5000 0.0000
Co3 Co 0.5000 0.0000 0.0000
```

---

It is i that is the most stable of them.

---

## i
Computed, not measured: Be2CoNi at its PBEsol-relaxed geometry at the meta-GGA SCAN level of DFT.

Properties
Space group ... P4mm, No. 99
M_tot ... 0.00 μB/f.u.

```
data_Be2CoNi
_chemical_formula_sum 'Be2 Co1 Ni1'
_space_group_name_H-M_alt 'P 1'
_space_group_IT_number 1
_cell_length_a 2.5877
_cell_length_b 2.5877
_cell_length_c 5.2067
_cell_angle_alpha 90.00
_cell_angle_beta 90.00
_cell_angle_gamma 90.00
loop_
_space_group_symop_operation_xyz
'x,y,z'
loop_
_atom_site_label
_atom_site_type_symbol
_atom_site_fract_x
_atom_site_fract_y
_atom_site_fract_z
Be1 Be 0.0000 0.0000 0.0000
Be2 Be 0.5000 0.5000 0.2310
Co1 Co 0.0000 0.0000 0.4571
Ni1 Ni 0.5000 0.5000 0.7647
```

---

## ii
Computed, not measured: Be2CoNi at its PBEsol-relaxed geometry at the meta-GGA SCAN level of DFT.

Properties
Space group ... I-4m2, No. 119
M_tot ... 1.42 μB/f.u.

```
data_Be2CoNi
_chemical_formula_sum 'Be2 Co1 Ni1'
_space_group_name_H-M_alt 'P 1'
_space_group_IT_number 1
_cell_length_a 4.2489
_cell_length_b 4.2489
_cell_length_c 4.2489
_cell_angle_alpha 136.72
_cell_angle_beta 136.72
_cell_angle_gamma 62.87
loop_
_space_group_symop_operation_xyz
'x,y,z'
loop_
_atom_site_label
_atom_site_type_symbol
_atom_site_fract_x
_atom_site_fract_y
_atom_site_fract_z
Be1 Be 0.0000 0.0000 0.0000
Be2 Be 0.7500 0.2500 0.5000
Co1 Co 0.5000 0.5000 0.0000
Ni1 Ni 0.2500 0.7500 0.5000
```

---

It is ii that is the most stable of them.